## In2BAs (PBE)

Data for In2BAs after structural relaxation.

Computed properties:
The calculation puts the energy above the most stable polymorph in this dataset at 0.000 eV per atom. The calculation puts the total energy at -3.679 eV per atom. Its crystal system is tetragonal. The formation energy is 0.522 eV per atom. The total magnetization is 0.0000 μB/atom.

Cell: 5.8599 5.8599 6.9511 Å, 65.07 65.07 90.00°
Element x y z (fractional)
As 0.0000 0.0000 0.0000
As 0.7500 0.2500 0.5000
B 0.5000 0.5000 0.0000
B 0.2500 0.7500 0.5000
In 0.5683 0.1250 0.2500
In 0.1817 0.6250 0.2500
In 0.3750 0.4317 0.7500
In 0.8750 0.8183 0.7500

***

## Cs2U3CdS8 (PBE)

Data for Cs2U3CdS8 after structural relaxation.

Computed properties:
The calculation puts the total energy at -6.246 eV per atom. Its crystal system is trigonal. Its energy relative to the elements, uncorrected is -1.28 eV/atom. The total magnetization is 0.4286 μB/atom.

Cell: 7.9935 7.9935 9.7754 Å, 65.87 65.87 60.00°
Each line ends with the local moment (μB).
Element x y z (fractional)
Cs 0.1400 0.1400 0.5800  0.00
Cs 0.4891 0.4891 0.5328  0.00
U 0.4913 0.9878 0.0295  2.04
U 0.9878 0.4913 0.0295  2.04
U 0.4913 0.4913 0.0295  2.04
Cd 0.9790 0.9790 0.0629  0.00
S 0.2696 0.2696 0.1913  -0.06
S 0.7126 0.7126 0.8622  -0.07
S 0.2172 0.2172 0.8631  -0.05
S 0.7026 0.2172 0.8631  -0.05
S 0.2172 0.7026 0.8631  -0.05
S 0.7579 0.2794 0.2049  -0.06
S 0.2794 0.7579 0.2049  -0.06
S 0.7579 0.7579 0.2049  -0.06

***

Quick rundown of volume, same order as above: 191.6, 476.9 Å³/cell